# 1
Computed, not measured: a geometry-optimized Sc2TaAu structure at the PBE level of DFT.

Cell lengths 3.0831, 3.0831, 8.6764 Å; angles 90.00, 90.00, 90.00 degrees
Last column: nearest neighbours and their distance in Å.
Sites, in units of the cell vectors:
Sc (0.5000, 0.5000, 0.2760)  4 Ta 3.01, 4 Sc 3.08
Sc (0.0000, 0.0000, 0.9691)  4 Au 2.95, 4 Sc 3.08
Ta (0.0000, 0.0000, 0.5152)  4 Au 2.92, 4 Sc 3.01, 4 Ta 3.08
Au (0.5000, 0.5000, 0.7397)  4 Ta 2.92, 4 Sc 2.95, 4 Au 3.08

Excess energy over the best structure of this formula in the dataset ... 161 meV per atom
Formation enthalpy at 0 K ... -137 meV/atom



# 2
Computed, not measured: a geometry-optimized CsBS2 structure at the PBE level of DFT.

Cell lengths 10.3564, 7.5269, 7.5269 Å; angles 59.15, 110.94, 69.06 degrees
Last column: nearest neighbours and their distance in Å.
Sites, in units of the cell vectors:
B (0.7500, 0.1194, 0.6194)  2 S 1.67
Cs (0.2500, 0.6063, 0.1063)  3 B 3.58-3.59, 8 S 3.66-3.95
B (0.2500, 0.8806, 0.3806)  2 S 1.67
S (0.7524, 0.8979, 0.8526)  1 B 1.67
Cs (0.7500, 0.3937, 0.8937)  3 B 3.58-3.59, 8 S 3.66-3.95
S (0.7476, 0.3526, 0.3979)  1 B 1.67
S (0.2524, 0.6474, 0.6021)  1 B 1.67
S (0.2476, 0.1021, 0.1474)  1 B 1.67

Excess energy over the best structure of this formula in the dataset ... 72 meV per atom



# 3
Computed, not measured: a geometry-optimized CoPOs structure at the PBE level of DFT.

Cell lengths 6.0890, 5.8007, 2.7764 Å; angles 82.36, 70.77, 26.87 degrees
Last column: nearest neighbours and their distance in Å.
Sites, in units of the cell vectors:
P (0.6592, 0.6592, 0.3408)  2 Co 2.14, 2 Os 2.33
Os (0.3203, 0.3203, 0.6797)  2 P 2.33
Co (0.0205, 0.0205, 0.9795)  2 P 2.14

Excess energy over the best structure of this formula in the dataset ... 564 meV per atom
Formation enthalpy at 0 K ... 346 meV/atom



# 4
Computed, not measured: a geometry-optimized Ba4Na2W structure at the PBE level of DFT.

Cell lengths 6.1242, 6.1242, 10.6810 Å; angles 73.34, 73.34, 90.00 degrees
Last column: nearest neighbours and their distance in Å.
Sites, in units of the cell vectors:
Ba (0.0000, 0.5000, 0.0000)  2 W 3.06
Na (0.6348, 0.6348, 0.7303)  9 Ba 3.96-4.36
W (0.0000, 0.0000, 0.0000)  6 Ba 3.06-3.17
Ba (0.8379, 0.8379, 0.3243)  1 W 3.17
Ba (0.5000, 0.0000, 0.0000)  2 W 3.06
Ba (0.1621, 0.1621, 0.6757)  1 W 3.17
Na (0.3652, 0.3652, 0.2697)  9 Ba 3.96-4.36

Formation enthalpy at 0 K ... 597 meV/atom



Number 1: E -7.085 eV per atom, total magnetization 0.0 μB per formula unit. Number 2: E -4.763 eV per atom, total magnetization 0.0 μB per formula unit. Number 3: E -7.569 eV per atom, total magnetization 0.4 μB per formula unit. Number 4: E -2.729 eV per atom, total magnetization 0.0 μB per formula unit.